Entry 1:
{"formula": "ZrAl2Ni", "functional": "PBE", "state": "relaxed", "formation_enthalpy_0k_ev_per_atom": -0.36, "spacegroup": "No. 10", "rho_g_cm3": 5.13, "magnetic_moment_mub_per_cell": 0.000, "dos_at_fermi_per_ev_atom": 0.64, "lattice": [[4.197, 0.000, 0.000], [0.000, 3.078, 0.008], [0.000, 1.005, 5.115]], "species": ["Ni", "Al", "Al", "Zr"], "frac_coords": [[0.500, 0.250, 0.250], [0.000, 0.126, 0.020], [0.000, 0.374, 0.480], [0.500, 0.750, 0.750]]}


Entry 2:
{"formula": "ZrAl2Ni", "functional": "PBE", "state": "relaxed", "formation_enthalpy_0k_ev_per_atom": -0.61, "spacegroup": "No. 62", "rho_g_cm3": 5.30, "magnetic_moment_mub_per_cell": 0.000, "dos_at_fermi_per_ev_atom": 0.49, "lattice": [[-2.295, -4.208, 2.140], [3.096, -3.845, -4.241], [11.415, -1.362, 9.568]], "species": ["Zr", "Zr", "Zr", "Zr", "Zr", "Zr", "Zr", "Zr", "Al", "Al", "Al", "Al", "Al", "Al", "Al", "Al", "Al", "Al", "Al", "Al", "Al", "Al", "Al", "Al", "Ni", "Ni", "Ni", "Ni", "Ni", "Ni", "Ni", "Ni"], "frac_coords": [[0.459, 0.250, 0.143], [0.959, 0.750, 0.357], [0.541, 0.750, 0.857], [0.041, 0.250, 0.643], [0.738, 0.250, 0.389], [0.238, 0.750, 0.111], [0.262, 0.750, 0.611], [0.762, 0.250, 0.889], [0.954, 0.051, 0.215], [0.454, 0.949, 0.285], [0.046, 0.551, 0.785], [0.546, 0.449, 0.715], [0.046, 0.949, 0.785], [0.546, 0.051, 0.715], [0.954, 0.449, 0.215], [0.454, 0.551, 0.285], [0.741, 0.549, 0.034], [0.241, 0.451, 0.466], [0.259, 0.049, 0.966], [0.759, 0.951, 0.534], [0.259, 0.451, 0.966], [0.759, 0.549, 0.534], [0.741, 0.951, 0.034], [0.241, 0.049, 0.466], [0.211, 0.250, 0.326], [0.711, 0.750, 0.174], [0.789, 0.750, 0.674], [0.289, 0.250, 0.826], [0.993, 0.250, 0.073], [0.493, 0.750, 0.427], [0.007, 0.750, 0.927], [0.507, 0.250, 0.573]]}


Entry 3:
{"formula": "Zr2AlNi", "functional": "PBE", "state": "relaxed", "formation_enthalpy_0k_ev_per_atom": -0.34, "spacegroup": "No. 99", "rho_g_cm3": 6.22, "magnetic_moment_mub_per_cell": 0.000, "dos_at_fermi_per_ev_atom": 1.08, "lattice": [[-0.959, 2.470, 1.541], [-2.769, -1.274, 0.319], [2.230, -3.213, 6.534]], "species": ["Ni", "Al", "Zr", "Zr"], "frac_coords": [[0.500, 0.500, 0.717], [0.000, 0.000, 0.553], [0.000, 0.000, 0.960], [0.500, 0.500, 0.270]]}


Entry 4:
{"formula": "Zr2AlNi", "functional": "PBE", "state": "relaxed", "formation_enthalpy_0k_ev_per_atom": -0.10, "spacegroup": "No. 160", "rho_g_cm3": 5.85, "magnetic_moment_mub_per_cell": 0.000, "dos_at_fermi_per_ev_atom": 0.79, "lattice": [[-2.607, -7.048, 4.272], [0.349, -7.958, 3.357], [-0.040, -6.194, 6.029]], "species": ["Ni", "Al", "Zr", "Zr"], "frac_coords": [[0.755, 0.755, 0.755], [0.486, 0.486, 0.486], [0.012, 0.012, 0.012], [0.247, 0.247, 0.247]]}